Record 1
Ac2Cd5Ga, relaxed, DFT PBE; calculated formation energy = -32 kJ/mol of atoms; M_tot = 0.00 μB per atom; DFT total energy = -2.307 eV per atom; DOS(E_F) = 12.5 states/eV/cell; space group = No. 63
1.0
4.963 0.000 0.000
-2.482 8.971 0.000
0.000 0.000 9.899
Ac Cd Ga
4 10 2
direct
0.799 0.597 0.750
0.201 0.403 0.250
0.000 0.000 0.000
0.000 0.000 0.500
0.187 0.374 0.895
0.813 0.626 0.105
0.187 0.374 0.605
0.813 0.626 0.395
0.354 0.708 0.973
0.646 0.292 0.027
0.354 0.708 0.527
0.646 0.292 0.473
0.592 0.184 0.750
0.408 0.816 0.250
0.443 0.886 0.750
0.557 0.114 0.250



Record 2
Cs2Cd17, relaxed, DFT PBE; calculated formation energy = -3 kJ/mol of atoms; M_tot = 0.00 μB per atom; DFT total energy = -0.942 eV per atom; DOS(E_F) = 6.0 states/eV/cell; space group = No. 166
1.0
8.035 -0.094 -0.083
1.046 7.967 -0.083
1.046 0.907 7.915
Cs Cd
2 17
direct
0.346 0.346 0.346
0.654 0.654 0.654
0.655 0.655 0.146
0.146 0.655 0.655
0.902 0.902 0.902
0.098 0.098 0.098
0.000 0.000 0.500
0.000 0.500 0.000
0.500 0.000 0.000
0.291 0.709 0.000
0.709 0.000 0.291
0.000 0.291 0.709
0.709 0.291 0.000
0.291 0.000 0.709
0.000 0.709 0.291
0.854 0.345 0.345
0.345 0.345 0.854
0.345 0.854 0.345
0.655 0.146 0.655



Record 3
PrSm2Mg, relaxed, DFT PBE; calculated formation energy = 4 kJ/mol of atoms; M_tot = 0.00 μB per atom; DFT total energy = -3.910 eV per atom; DOS(E_F) = 5.3 states/eV/cell; space group = No. 160; E above lowest polymorph = 0.080 eV/atom
1.0
3.603 0.001 0.000
1.803 3.120 0.000
1.802 1.040 11.527
Pr Sm Mg
1 2 1
direct
0.667 0.667 0.999
0.086 0.086 0.741
0.247 0.247 0.260
0.500 0.500 0.500



Record 4
AcTcAgH6, relaxed, DFT PBE; M_tot = 0.13 μB per atom; DFT total energy = -4.312 eV per atom; DOS(E_F) = 4.6 states/eV/cell; space group = No. 187
1.0
-2.222 -1.777 4.035
-4.411 -2.186 -0.372
2.082 -4.090 -0.655
Ac Tc Ag H
1 1 1 6
direct
0.000 0.000 0.000
0.333 0.333 0.500
0.667 0.667 0.500
0.044 0.478 0.232
0.478 0.044 0.768
0.478 0.478 0.768
0.044 0.478 0.768
0.478 0.478 0.232
0.478 0.044 0.232



Record 5
Y6AgPd2, relaxed, DFT PBE; calculated formation energy = -35 kJ/mol of atoms; M_tot = 0.00 μB per atom; DFT total energy = -6.142 eV per atom; DOS(E_F) = 22.0 states/eV/cell; space group = No. 14; E above lowest polymorph = 0.114 eV/atom
1.0
-0.880 6.626 -0.227
-6.186 -0.949 -3.713
-5.207 -0.619 8.832
Y Ag Pd
12 2 4
direct
0.828 0.957 0.237
0.817 0.657 0.574
0.860 0.687 0.927
0.640 0.187 0.573
0.683 0.157 0.926
0.672 0.457 0.263
0.172 0.043 0.763
0.183 0.343 0.426
0.140 0.313 0.073
0.360 0.813 0.427
0.317 0.843 0.074
0.328 0.543 0.737
0.500 0.500 0.000
0.000 0.000 0.500
0.934 0.376 0.761
0.566 0.876 0.739
0.434 0.124 0.261
0.066 0.624 0.239



Record 6
ThBiB, relaxed, DFT PBE; calculated formation energy = -2 kJ/mol of atoms; M_tot = 0.00 μB per atom; DFT total energy = -6.012 eV per atom; DOS(E_F) = 3.6 states/eV/cell; space group = No. 12
1.0
4.092 0.000 0.000
2.046 3.545 0.011
2.046 0.175 10.893
Th B Bi
2 2 2
direct
0.841 0.974 0.344
0.159 0.026 0.656
0.547 0.350 0.555
0.453 0.650 0.445
0.290 0.316 0.104
0.710 0.684 0.896



Record 7
Cs5Rb4Hg4, relaxed, DFT PBE; calculated formation energy = -14 kJ/mol of atoms; M_tot = 0.00 μB per atom; DFT total energy = -0.865 eV per atom; DOS(E_F) = 7.0 states/eV/cell; space group = No. 87
1.0
5.253 0.000 1.335
2.626 12.408 0.668
-0.431 0.000 12.693
Cs Rb Hg
5 4 4
direct
0.683 0.949 0.685
0.317 0.051 0.315
0.000 0.000 0.000
0.632 0.685 0.051
0.368 0.315 0.949
0.880 0.527 0.712
0.592 0.288 0.527
0.120 0.473 0.288
0.408 0.712 0.473
0.763 0.270 0.203
0.237 0.730 0.797
0.966 0.797 0.270
0.034 0.203 0.730



Record 8
Zn2AsPb, relaxed, DFT PBE; calculated formation energy = 25 kJ/mol of atoms; M_tot = 0.00 μB per atom; DFT total energy = -2.471 eV per atom; DOS(E_F) = 2.1 states/eV/cell; space group = No. 225
1.0
-0.029 0.779 4.862
1.221 4.421 1.792
-3.451 2.880 2.012
Pb As Zn
1 1 2
direct
0.500 0.500 0.500
0.000 0.000 0.000
0.250 0.250 0.250
0.750 0.750 0.750